No. 1
This record from Alexandria via LeMat-Bulk describes an optimized crystal structure of RbBaRh2Se. The functional is PBE-GGA. Values from VASP.

- theoretical density (g/cm³) = 4.78
- N(E_F) (states/eV per atom) = 1.043
- total magnetic moment (μB/atom) = 0.227
- uncorrected formation energy (eV per formula unit) = 5.21

The structure in Quantum ESPRESSO input format:
```
&SYSTEM
  ibrav = 0, nat = 5, ntyp = 4
/
ATOMIC_SPECIES
Rb 85.47 Rb.upf
Ba 137.33 Ba.upf
Rh 102.91 Rh.upf
Se 78.96 Se.upf
CELL_PARAMETERS angstrom
5.1595 0.0000 0.0000
0.0000 5.1595 0.0000
0.0000 0.0000 6.6273
ATOMIC_POSITIONS angstrom
Rb 0.0000 0.0000 0.0000
Ba 0.0000 0.0000 3.3136
Rh 0.0000 2.5798 3.3136
Rh 2.5798 0.0000 3.3136
Se 2.5798 2.5798 0.0000
```



No. 2
This record from Alexandria via LeMat-Bulk describes an optimized crystal structure of RbBaSi2Rh. The functional is PBE-GGA. Values from VASP.

- theoretical density (g/cm³) = 3.57
- N(E_F) (states/eV per atom) = 1.531
- total magnetic moment (μB/atom) = 0.236
- distance to the lowest polymorph of the same formula (meV/atom) = 1827
- uncorrected formation energy (eV per formula unit) = 9.67

The structure in Quantum ESPRESSO input format:
```
&SYSTEM
  ibrav = 0, nat = 5, ntyp = 4
/
ATOMIC_SPECIES
Rb 85.47 Rb.upf
Ba 137.33 Ba.upf
Si 28.09 Si.upf
Rh 102.91 Rh.upf
CELL_PARAMETERS angstrom
5.4259 0.0000 0.0000
0.0000 5.4259 0.0000
0.0000 0.0000 6.0332
ATOMIC_POSITIONS angstrom
Rb 0.0000 0.0000 0.0000
Ba 0.0000 0.0000 3.0166
Si 0.0000 2.7130 0.0000
Si 2.7130 0.0000 0.0000
Rh 2.7130 2.7130 3.0166
```



No. 3
This record from Alexandria via LeMat-Bulk describes an optimized crystal structure of RbBaSi2Rh. The functional is PBE-GGA. Values from VASP.

- theoretical density (g/cm³) = 4.78
- N(E_F) (states/eV per atom) = 0.638
- total magnetic moment (μB/atom) = 0.000
- distance to the lowest polymorph of the same formula (meV/atom) = 0
- uncorrected formation energy (eV per formula unit) = 0.54

The structure in Quantum ESPRESSO input format:
```
&SYSTEM
  ibrav = 0, nat = 5, ntyp = 4
/
ATOMIC_SPECIES
Rb 85.47 Rb.upf
Ba 137.33 Ba.upf
Si 28.09 Si.upf
Rh 102.91 Rh.upf
CELL_PARAMETERS angstrom
4.7977 0.0000 0.0000
0.0000 4.7977 0.0000
0.0000 0.0000 5.7646
ATOMIC_POSITIONS angstrom
Rb 0.0000 0.0000 0.0000
Ba 2.3989 2.3989 0.0000
Si 0.0000 2.3989 2.8823
Si 2.3989 0.0000 2.8823
Rh 0.0000 0.0000 2.8823
```



No. 4
This record from Alexandria via LeMat-Bulk describes an optimized crystal structure of RbBa2SnRh. The functional is PBE-GGA. Values from VASP.

- energy relative to the elements (eV per atom) = -0.24
- theoretical density (g/cm³) = 4.74
- N(E_F) (states/eV per atom) = 0.675
- total magnetic moment (μB/atom) = 0.112

The structure in Quantum ESPRESSO input format:
```
&SYSTEM
  ibrav = 0, nat = 5, ntyp = 4
/
ATOMIC_SPECIES
Rb 85.47 Rb.upf
Ba 137.33 Ba.upf
Sn 118.71 Sn.upf
Rh 102.91 Rh.upf
CELL_PARAMETERS angstrom
6.1894 0.0000 0.0000
0.0000 6.1894 0.0000
0.0000 0.0000 5.3174
ATOMIC_POSITIONS angstrom
Rb 0.0000 0.0000 0.0000
Ba 0.0000 3.0947 2.6587
Ba 3.0947 0.0000 2.6587
Sn 3.0947 3.0947 0.0000
Rh 3.0947 3.0947 2.6587
```



No. 5
This record from Alexandria via LeMat-Bulk describes an optimized crystal structure of RbBaSr2Rh. The functional is PBE-GGA. Values from VASP.

- energy relative to the elements (eV per atom) = -0.08
- theoretical density (g/cm³) = 3.52
- N(E_F) (states/eV per atom) = 0.919
- total magnetic moment (μB/atom) = 0.000
- distance to the lowest polymorph of the same formula (meV/atom) = 0

The structure in Quantum ESPRESSO input format:
```
&SYSTEM
  ibrav = 0, nat = 5, ntyp = 4
/
ATOMIC_SPECIES
Rb 85.47 Rb.upf
Ba 137.33 Ba.upf
Sr 87.62 Sr.upf
Rh 102.91 Rh.upf
CELL_PARAMETERS angstrom
6.1458 0.0000 0.0000
0.0000 6.1458 0.0000
0.0000 0.0000 6.2498
ATOMIC_POSITIONS angstrom
Rb 0.0000 0.0000 0.0000
Ba 3.0729 3.0729 0.0000
Sr 0.0000 3.0729 3.1249
Sr 3.0729 0.0000 3.1249
Rh 3.0729 3.0729 3.1249
```



No. 6
This record from Alexandria via LeMat-Bulk describes an optimized crystal structure of RbBa2SrRh. The functional is PBE-GGA. Values from VASP.

- energy relative to the elements (eV per atom) = -0.07
- theoretical density (g/cm³) = 3.73
- N(E_F) (states/eV per atom) = 0.967
- total magnetic moment (μB/atom) = 0.000

The structure in Quantum ESPRESSO input format:
```
&SYSTEM
  ibrav = 0, nat = 5, ntyp = 4
/
ATOMIC_SPECIES
Rb 85.47 Rb.upf
Ba 137.33 Ba.upf
Sr 87.62 Sr.upf
Rh 102.91 Rh.upf
CELL_PARAMETERS angstrom
6.2956 0.0000 0.0000
0.0000 6.2956 0.0000
0.0000 0.0000 6.1905
ATOMIC_POSITIONS angstrom
Rb 0.0000 0.0000 0.0000
Ba 0.0000 3.1478 3.0952
Ba 3.1478 0.0000 3.0952
Sr 3.1478 3.1478 0.0000
Rh 3.1478 3.1478 3.0952
```



No. 7
This record from Alexandria via LeMat-Bulk describes an optimized crystal structure of RbBaSr2Rh. The functional is PBE-GGA. Values from VASP.

- energy relative to the elements (eV per atom) = 0.81
- theoretical density (g/cm³) = 3.46
- N(E_F) (states/eV per atom) = 1.514
- total magnetic moment (μB/atom) = 0.000
- distance to the lowest polymorph of the same formula (meV/atom) = 889

The structure in Quantum ESPRESSO input format:
```
&SYSTEM
  ibrav = 0, nat = 5, ntyp = 4
/
ATOMIC_SPECIES
Rb 85.47 Rb.upf
Ba 137.33 Ba.upf
Sr 87.62 Sr.upf
Rh 102.91 Rh.upf
CELL_PARAMETERS angstrom
6.8487 0.0000 0.0000
0.0000 6.8487 0.0000
0.0000 0.0000 5.1188
ATOMIC_POSITIONS angstrom
Rb 0.0000 0.0000 0.0000
Ba 3.4243 3.4243 2.5594
Sr 0.0000 3.4243 0.0000
Sr 3.4243 0.0000 0.0000
Rh 0.0000 0.0000 2.5594
```



No. 8
This record from Alexandria via LeMat-Bulk describes an optimized crystal structure of RbBa2TlRh. The functional is PBE-GGA. Values from VASP.

- energy relative to the elements (eV per atom) = -0.12
- theoretical density (g/cm³) = 5.29
- N(E_F) (states/eV per atom) = 0.910
- total magnetic moment (μB/atom) = 0.068

The structure in Quantum ESPRESSO input format:
```
&SYSTEM
  ibrav = 0, nat = 5, ntyp = 4
/
ATOMIC_SPECIES
Rb 85.47 Rb.upf
Ba 137.33 Ba.upf
Tl 204.38 Tl.upf
Rh 102.91 Rh.upf
CELL_PARAMETERS angstrom
6.1409 0.0000 0.0000
0.0000 6.1409 0.0000
0.0000 0.0000 5.5545
ATOMIC_POSITIONS angstrom
Rb 0.0000 0.0000 0.0000
Ba 0.0000 3.0705 2.7773
Ba 3.0705 0.0000 2.7773
Tl 3.0705 3.0705 0.0000
Rh 3.0705 3.0705 2.7773
```



No. 9
This record from Alexandria via LeMat-Bulk describes an optimized crystal structure of RbBaTl2Rh. The functional is PBE-GGA. Values from VASP.

- energy relative to the elements (eV per atom) = -0.13
- theoretical density (g/cm³) = 6.90
- N(E_F) (states/eV per atom) = 0.657
- total magnetic moment (μB/atom) = 0.000

The structure in Quantum ESPRESSO input format:
```
&SYSTEM
  ibrav = 0, nat = 5, ntyp = 4
/
ATOMIC_SPECIES
Rb 85.47 Rb.upf
Ba 137.33 Ba.upf
Tl 204.38 Tl.upf
Rh 102.91 Rh.upf
CELL_PARAMETERS angstrom
5.5086 0.0000 0.0000
0.0000 5.5086 0.0000
0.0000 0.0000 5.8213
ATOMIC_POSITIONS angstrom
Rb 0.0000 0.0000 0.0000
Ba 2.7543 2.7543 0.0000
Tl 0.0000 2.7543 2.9107
Tl 2.7543 0.0000 2.9107
Rh 2.7543 2.7543 2.9107
```



No. 10
This record from Alexandria via LeMat-Bulk describes an optimized crystal structure of RbBaY2Rh. The functional is PBE-GGA. Values from VASP.

- energy relative to the elements (eV per atom) = 1.18
- theoretical density (g/cm³) = 4.84
- N(E_F) (states/eV per atom) = 1.167
- total magnetic moment (μB/atom) = 0.000

The structure in Quantum ESPRESSO input format:
```
&SYSTEM
  ibrav = 0, nat = 5, ntyp = 4
/
ATOMIC_SPECIES
Rb 85.47 Rb.upf
Ba 137.33 Ba.upf
Y 88.91 Y.upf
Rh 102.91 Rh.upf
CELL_PARAMETERS angstrom
5.7773 0.0000 0.0000
0.0000 5.7773 0.0000
0.0000 0.0000 5.1785
ATOMIC_POSITIONS angstrom
Rb 0.0000 0.0000 0.0000
Ba 2.8887 2.8887 2.5893
Y 0.0000 2.8887 0.0000
Y 2.8887 0.0000 0.0000
Rh 0.0000 0.0000 2.5893
```



No. 11
This record from Alexandria via LeMat-Bulk describes an optimized crystal structure of RbBa2ZnRh. The functional is PBE-GGA. Values from VASP.

- energy relative to the elements (eV per atom) = -0.02
- theoretical density (g/cm³) = 4.48
- N(E_F) (states/eV per atom) = 0.866
- total magnetic moment (μB/atom) = 0.000

The structure in Quantum ESPRESSO input format:
```
&SYSTEM
  ibrav = 0, nat = 5, ntyp = 4
/
ATOMIC_SPECIES
Rb 85.47 Rb.upf
Ba 137.33 Ba.upf
Zn 65.41 Zn.upf
Rh 102.91 Rh.upf
CELL_PARAMETERS angstrom
6.1065 0.0000 0.0000
0.0000 6.1065 0.0000
0.0000 0.0000 5.2480
ATOMIC_POSITIONS angstrom
Rb 0.0000 0.0000 0.0000
Ba 0.0000 3.0533 2.6240
Ba 3.0533 0.0000 2.6240
Zn 3.0533 3.0533 0.0000
Rh 3.0533 3.0533 2.6240
```



No. 12
This record from Alexandria via LeMat-Bulk describes an optimized crystal structure of Rb2BaZrRh. The functional is PBE-GGA. Values from VASP.

- energy relative to the elements (eV per atom) = 0.74
- theoretical density (g/cm³) = 3.55
- N(E_F) (states/eV per atom) = 1.226
- total magnetic moment (μB/atom) = 0.221

The structure in Quantum ESPRESSO input format:
```
&SYSTEM
  ibrav = 0, nat = 5, ntyp = 4
/
ATOMIC_SPECIES
Rb 85.47 Rb.upf
Ba 137.33 Ba.upf
Zr 91.22 Zr.upf
Rh 102.91 Rh.upf
CELL_PARAMETERS angstrom
6.9909 0.0000 0.0000
0.0000 6.9909 0.0000
0.0000 0.0000 4.8039
ATOMIC_POSITIONS angstrom
Rb 0.0000 3.4954 0.0000
Rb 3.4954 0.0000 0.0000
Ba 0.0000 0.0000 2.4020
Zr 3.4954 3.4954 0.0000
Rh 3.4954 3.4954 2.4020
```



No. 13
This record from Alexandria via LeMat-Bulk describes an optimized crystal structure of RbBaRu2. The functional is PBE-GGA. Values from VASP.

- energy relative to the elements (eV per atom) = 1.59
- theoretical density (g/cm³) = 6.58
- N(E_F) (states/eV per atom) = 2.776
- total magnetic moment (μB/atom) = 0.691
- distance to the lowest polymorph of the same formula (meV/atom) = 0

The structure in Quantum ESPRESSO input format:
```
&SYSTEM
  ibrav = 0, nat = 16, ntyp = 3
/
ATOMIC_SPECIES
Rb 85.47 Rb.upf
Ba 137.33 Ba.upf
Ru 101.07 Ru.upf
CELL_PARAMETERS angstrom
7.5405 0.0000 0.0000
0.0000 7.5405 0.0000
0.0000 0.0000 7.5405
ATOMIC_POSITIONS angstrom
Rb 0.0000 0.0000 0.0000
Rb 0.0000 3.7702 3.7702
Rb 3.7702 0.0000 3.7702
Rb 3.7702 3.7702 0.0000
Ba 0.0000 0.0000 3.7702
Ba 0.0000 3.7702 0.0000
Ba 3.7702 0.0000 0.0000
Ba 3.7702 3.7702 3.7702
Ru 1.8851 1.8851 1.8851
Ru 1.8851 1.8851 5.6553
Ru 1.8851 5.6553 1.8851
Ru 1.8851 5.6553 5.6553
Ru 5.6553 1.8851 1.8851
Ru 5.6553 1.8851 5.6553
Ru 5.6553 5.6553 1.8851
Ru 5.6553 5.6553 5.6553
```